(1)
Crystalline Na2B2Rh at its relaxed geometry. Source: the Alexandria database, functional GGA-PBEsol.

Values from the calculation:
DFT total energy = -4.15 eV per atom
DFT formation energy = 0.845 eV/atom
Magnetic moment = 0.000 μB per atom
Space-group type = I4/mmm, No. 139

Unit cell a=3.307 b=3.307 c=6.122 alpha=105.67 beta=105.67 gamma=90.00
Element x y z (fractional)
Na (0.250, 0.750, 0.500)
Na (0.750, 0.250, 0.500)
B (0.428, 0.428, 0.857)
B (0.572, 0.572, 0.143)
Rh (0.000, 0.000, 0.000)

(2)
Crystalline NaScB2Rh at its relaxed geometry. Source: the Alexandria database, functional GGA-PBEsol.

Values from the calculation:
DFT total energy = -5.42 eV per atom
DFT formation energy = 0.618 eV/atom
Magnetic moment = 0.000 μB per atom
Space-group type = P4/mmm, No. 123

Unit cell a=4.036 b=4.036 c=4.644 alpha=90.00 beta=90.00 gamma=90.00
Element x y z (fractional)
Sc (0.500, 0.500, 0.500)
Na (0.000, 0.000, 0.500)
B (0.000, 0.500, 0.000)
B (0.500, 0.000, 0.000)
Rh (0.000, 0.000, 0.000)

(3)
Crystalline NaBRu3 at its relaxed geometry. Source: the Alexandria database, functional GGA-PBEsol.

Values from the calculation:
DFT total energy = -4.44 eV per atom
DFT formation energy = 3.351 eV/atom
Magnetic moment = 0.764 μB per atom
Space-group type = Pm-3m, No. 221

Unit cell a=4.337 b=4.337 c=4.337 alpha=90.00 beta=90.00 gamma=90.00
Each line ends with the local moment (μB).
Element x y z (fractional)
Ru (0.000, 0.500, 0.000)  1.23
Ru (0.000, 0.000, 0.500)  1.23
Ru (0.500, 0.000, 0.000)  1.23
B (0.500, 0.500, 0.500)  -0.04
Na (0.000, 0.000, 0.000)  0.01

> Among the records above, which one has the highest DFT formation energy?

NaBRu3

> The lowest DFT formation energy belongs to which entry?

NaScB2Rh